(1)
Here is a geometry-optimized Er4Cu3Ni structure from OQMD via LeMat-Bulk. Energies are from GGA-PBE.

abc: 5.325 4.392 6.996
angles: 90.00 90.28 90.00
Space group Pm (No. 6)
Asymmetric unit:
Er: 0.000 0.000 0.000
Er: 0.223 0.000 0.513
Er: 0.498 0.500 0.866
Er: 0.732 0.500 0.376
Cu: 0.235 0.500 0.222
Cu: 0.493 0.000 0.156
Cu: 0.735 0.000 0.655
Ni: 0.993 0.500 0.722

Calculated values
Crystal system: monoclinic
Total moment: 0.0 Bohr magnetons per cell
DFT formation energy: -0.341 eV per atom


(2)
Here is a geometry-optimized Al2InAg structure from OQMD via LeMat-Bulk. Energies are from GGA-PBE.

abc: 6.815 6.815 6.815
angles: 90.00 90.00 90.00
Space group F-43m (No. 216)
Asymmetric unit:
Al: 0.000 0.000 0.000
Al: 0.250 0.250 0.250
In: 0.000 0.000 0.500
Ag: 0.250 0.250 0.750

Calculated values
Energy: -3.078 eV per atom
Crystal system: cubic


(3)
Here is a geometry-optimized NdZrB structure from OQMD via LeMat-Bulk. Energies are from GGA-PBE.

abc: 6.461 6.461 6.461
angles: 90.00 90.00 90.00
Space group F-43m (No. 216)
Asymmetric unit:
Nd: 0.000 0.000 0.000
Zr: 0.250 0.250 0.250
B: 0.250 0.250 0.750

Calculated values
Energy: -5.102 eV per atom
Crystal system: cubic
Total moment: 6.9 Bohr magnetons per cell


(4)
Here is a geometry-optimized KPrPu structure from OQMD via LeMat-Bulk. Energies are from GGA-PBE.

abc: 8.589 8.589 8.589
angles: 90.00 90.00 90.00
Space group F-43m (No. 216)
Asymmetric unit:
K: 0.000 0.000 0.000
Pr: 0.250 0.250 0.250
Pu: 0.000 0.000 0.500

Calculated values
Energy: -5.503 eV per atom
Crystal system: cubic
Total moment: 36.8 Bohr magnetons per cell


(5)
Here is a geometry-optimized Pr2Dy2CI2Br3 structure from OQMD via LeMat-Bulk. Energies are from GGA-PBE.

abc: 18.976 3.975 8.485
angles: 90.00 102.08 90.00
Space group C2/m (No. 12)
Asymmetric unit:
Pr: 0.001 0.000 0.293
Dy: 0.130 0.500 0.567
C: 0.000 0.500 0.500
I: 0.173 0.000 0.324
Br: 0.000 0.500 0.000
Br: 0.161 0.000 0.818

Calculated values
Energy: -4.909 eV per atom
Crystal system: monoclinic
Total moment: 0.2 Bohr magnetons per cell


(6)
Here is a geometry-optimized Sm2GdCu4Pb4 structure from OQMD via LeMat-Bulk. Energies are from GGA-PBE.

abc: 4.636 7.076 15.201
angles: 90.00 90.00 90.00
Space group Immm (No. 71)
Asymmetric unit:
Sm: 0.000 0.000 0.132
Gd: 0.000 0.500 0.000
Cu: 0.000 0.185 0.331
Pb: 0.000 0.291 0.500
Pb: 0.000 0.500 0.216

Calculated values
Energy: -4.280 eV per atom
Crystal system: orthorhombic
Total moment: 0.0 Bohr magnetons per cell


(7)
Here is a geometry-optimized La2Gd2CI5 structure from OQMD via LeMat-Bulk. Energies are from GGA-PBE.

abc: 19.519 4.103 8.960
angles: 90.00 102.51 90.00
Space group C2/m (No. 12)
Asymmetric unit:
La: 0.001 0.000 0.303
Gd: 0.129 0.500 0.564
C: 0.000 0.500 0.500
I: 0.000 0.500 0.000
I: 0.167 0.000 0.830
I: 0.172 0.000 0.336

Calculated values
Energy: -4.760 eV per atom
Crystal system: monoclinic
Total moment: 0.7 Bohr magnetons per cell


(8)
Here is a geometry-optimized MgCdReTc structure from OQMD via LeMat-Bulk. Energies are from GGA-PBE.

abc: 6.363 6.363 6.363
angles: 90.00 90.00 90.00
Space group F-43m (No. 216)
Asymmetric unit:
Mg: 0.000 0.000 0.000
Cd: 0.250 0.250 0.750
Re: 0.250 0.250 0.250
Tc: 0.000 0.000 0.500

Calculated values
Energy: -5.996 eV per atom
Crystal system: cubic
Total moment: 0.0 Bohr magnetons per cell


What did the second record say?
Here is a geometry-optimized Al2InAg structure from OQMD via LeMat-Bulk. Energies are from GGA-PBE.

abc: 6.815 6.815 6.815
angles: 90.00 90.00 90.00
Space group F-43m (No. 216)
Asymmetric unit:
Al: 0.000 0.000 0.000
Al: 0.250 0.250 0.250
In: 0.000 0.000 0.500
Ag: 0.250 0.250 0.750

Calculated values
Energy: -3.078 eV per atom
Crystal system: cubic